First-principles (PBE) data for a geometry-optimized Tb3In3Pd2Au structure, as listed in OQMD.

Geometry as POSCAR:
```
Tb3In3Pd2Au
1.0
7.721 0.000 0.000
-3.861 6.687 0.000
0.000 0.000 3.939
Tb In Pd Au
3 3 2 1
direct
0.000 0.590 0.000 Tb
0.410 0.410 0.000 Tb
0.590 0.000 0.000 Tb
0.000 0.265 0.500 In
0.265 0.000 0.500 In
0.735 0.735 0.500 In
0.333 0.667 0.500 Pd
0.667 0.333 0.500 Pd
0.000 0.000 0.000 Au
```

Results
Electronic total energy = -4.749 eV per atom
Magnetic moment = 0.0039 μB/atom
V = 203.4 Å³ per cell